DFT (PBE+U) results for a relaxed Mn2IClO crystal.

Summary:
Its crystal system is monoclinic. The calculation puts the electronic total energy at -5.8119 eV/atom. Its volume is 25.2 A^3/atom.

Cell lengths 3.7531, 8.9496, 8.0171 Å; angles 77.95, 76.46, 77.90 degrees
Last column: nearest neighbours and their distance in Å.
Sites, in units of the cell vectors:
Mn (0.3870, 0.9096, 0.3164)  2 O 2.15
Mn (0.6130, 0.0904, 0.6836)  2 O 2.15
Mn (0.9028, 0.1705, 0.0240)  2 O 2.05-2.14
Mn (0.0972, 0.8295, 0.9760)  2 O 2.05-2.14
I (0.8143, 0.7683, 0.6032)  3 Mn 2.99-3.02
I (0.1857, 0.2317, 0.3968)  3 Mn 2.99-3.02
Cl (0.3910, 0.3305, 0.8876)  2 Mn 2.47
Cl (0.6090, 0.6695, 0.1124)  2 Mn 2.47
O (0.0722, 0.0402, 0.8154)  4 Mn 2.05-2.15
O (0.9278, 0.9598, 0.1846)  4 Mn 2.05-2.15